Entry 1:
Ta2AgAuSe | meta-GGA SCAN | single point on PBEsol structure

Output
- VASP energy: -49.040 eV per atom
- Energy relative to the elements, uncorrected: 1713.6 meV/atom
- N(E_F): 4.1 states/eV/cell
- Symmetry: P4/mmm
- Crystal system: tetragonal

Cell: 4.9355 4.9355 4.9586 Å, 90.00 90.00 90.00°
Last column: nearest neighbours and their distance in Å.
Fractional positions:
Ta1 0.0000 0.5000 0.0000  2 Au 2.47
Ta2 0.5000 0.0000 0.0000  2 Au 2.47
Ag1 0.0000 0.0000 0.5000  4 Se 3.49, 8 Ta 3.50
Au1 0.5000 0.5000 0.0000  4 Ta 2.47, 2 Se 2.48
Se1 0.5000 0.5000 0.5000  2 Au 2.48

Entry 2:
SiAg2Au | meta-GGA SCAN | single point on PBEsol structure

Output
- VASP energy: -35.326 eV per atom
- Energy relative to the elements, uncorrected: 151.1 meV/atom
- N(E_F): 0.8 states/eV/cell
- Symmetry: F-43m
- Crystal system: cubic

Cell: 4.5167 4.5167 4.5167 Å, 60.00 60.00 60.00°
Last column: nearest neighbours and their distance in Å.
Fractional positions:
Si1 0.0000 0.0000 0.0000  4 Au 2.77, 4 Ag 2.77
Ag1 0.5000 0.5000 0.5000  4 Ag 2.77, 4 Au 2.77
Ag2 0.7500 0.7500 0.7500  4 Si 2.77, 4 Ag 2.77
Au1 0.2500 0.2500 0.2500  4 Si 2.77, 4 Ag 2.77

Entry 3:
SiAgAu2 | meta-GGA SCAN | single point on PBEsol structure

Output
- VASP energy: -44.784 eV per atom
- Energy relative to the elements, uncorrected: 140.1 meV/atom
- N(E_F): 1.2 states/eV/cell
- Symmetry: P4/mmm
- Crystal system: tetragonal

Cell: 4.1268 4.1268 3.8272 Å, 90.00 90.00 90.00°
Last column: nearest neighbours and their distance in Å.
Fractional positions:
Si1 0.0000 0.0000 0.0000  8 Au 2.81, 4 Ag 2.92
Ag1 0.5000 0.5000 0.0000  8 Au 2.81, 4 Si 2.92
Au1 0.0000 0.5000 0.5000  4 Ag 2.81, 4 Si 2.81, 4 Au 2.92
Au2 0.5000 0.0000 0.5000  4 Ag 2.81, 4 Si 2.81, 4 Au 2.92

Entry 4:
Si2AgAu | meta-GGA SCAN | single point on PBEsol structure

Output
- VASP energy: -29.877 eV per atom
- Energy relative to the elements, uncorrected: 262.2 meV/atom
- N(E_F): 1.1 states/eV/cell
- Symmetry: C2/m
- Crystal system: monoclinic

Cell: 4.3413 4.3413 5.2535 Å, 101.53 101.53 41.70°
Last column: nearest neighbours and their distance in Å.
Fractional positions:
Si1 0.2473 0.2473 0.2488  3 Ag 2.63-2.68, 3 Au 2.65-2.66
Si2 0.7527 0.7527 0.7512  3 Ag 2.63-2.68, 3 Au 2.65-2.66
Ag1 0.0000 0.0000 0.5000  6 Si 2.63-2.68
Au1 0.5000 0.5000 0.0000  6 Si 2.65-2.66

Entry 5:
Si3AgAu | meta-GGA SCAN | single point on PBEsol structure

Output
- VASP energy: -24.992 eV per atom
- Energy relative to the elements, uncorrected: 1122.4 meV/atom
- N(E_F): 2.7 states/eV/cell
- Symmetry: Pm-3m
- Crystal system: cubic

Cell: 4.7830 4.7830 4.7830 Å, 90.00 90.00 90.00°
Last column: nearest neighbours and their distance in Å.
Fractional positions:
Si1 0.0000 0.0000 0.5000  2 Au 2.39
Si2 0.0000 0.5000 0.0000  2 Au 2.39
Si3 0.5000 0.0000 0.0000  2 Au 2.39
Ag1 0.5000 0.5000 0.5000  12 Si 3.38
Au1 0.0000 0.0000 0.0000  6 Si 2.39

Entry 6:
SiAgAu2 | meta-GGA SCAN | single point on PBEsol structure

Output
- VASP energy: -44.793 eV per atom
- Energy relative to the elements, uncorrected: 131.2 meV/atom
- N(E_F): 1.3 states/eV/cell
- Symmetry: Cmmm
- Crystal system: orthorhombic

Cell: 4.7202 4.7202 3.0495 Å, 90.00 90.00 105.60°
Last column: nearest neighbours and their distance in Å.
Fractional positions:
Si1 0.0000 0.0000 0.0000  8 Au 2.81, 2 Ag 2.85, 2 Si 3.05
Ag1 0.5000 0.5000 0.0000  8 Au 2.81, 2 Si 2.85, 2 Ag 3.05
Au1 0.0000 0.5000 0.5000  4 Ag 2.81, 4 Si 2.81, 4 Au 2.85-3.05
Au2 0.5000 0.0000 0.5000  4 Ag 2.81, 4 Si 2.81, 4 Au 2.85-3.05

> What is the VASP energy in the fifth record?

-24.992 eV per atom